Rb2NaClF2 PBE relaxed; space group = P4/mmm, No. 123; E_form (uncorrected) = -231 kJ per mole of atoms; size of the total moment = 0.08 μB per formula unit
1.0
4.445 0.000 0.000
0.000 4.445 0.000
0.000 0.000 7.240
Rb Na Cl F
2 1 1 2
Direct
0.000 0.000 0.250 Rb
0.000 0.000 0.750 Rb
0.500 0.500 0.000 Na
0.500 0.500 0.500 Cl
0.000 0.500 0.000 F
0.500 0.000 0.000 F